A geometry-optimized LuTa2Pb structure, computed with GGA-PBE. Values from VASP.

Geometry as Quantum ESPRESSO input:
```
&SYSTEM
  ibrav = 0, nat = 4, ntyp = 3
/
ATOMIC_SPECIES
Lu 174.97 Lu.upf
Pb 207.20 Pb.upf
Ta 180.95 Ta.upf
CELL_PARAMETERS angstrom
-4.7855 0.9065 0.7191
-2.4262 2.9931 -3.0651
-3.3481 -1.8431 -3.1037
ATOMIC_POSITIONS crystal
Lu 0.2500 0.2500 0.2500
Pb 0.5000 0.5000 0.5000
Ta 0.0000 0.0000 0.0000
Ta 0.7500 0.7500 0.7500
```

Summary:
* DFT total energy: -7.66 eV per atom